# 1
# Li5ZnAg8 (PBE, relaxed)
# Final energy ... -69.2 eV for the cell shown
# Density ... 6719 kg/m³
# Formation enthalpy at 0 K ... -0.069 eV per atom
# Fermi-level density of states ... 4.8 states/eV/f.u.
data_Li5ZnAg8
_symmetry_space_group_name_H-M 'I -4'
_symmetry_Int_Tables_number 82
_cell_length_a 7.7869
_cell_length_b 7.7869
_cell_length_c 7.8509
_cell_angle_alpha 90.00
_cell_angle_beta 90.00
_cell_angle_gamma 90.00
loop_
_symmetry_equiv_pos_as_xyz
'x,y,z'
'y,-x,-z'
'-x,-y,z'
'-y,x,-z'
'x+1/2,y+1/2,z+1/2'
'y+1/2,-x+1/2,-z+1/2'
'-x+1/2,-y+1/2,z+1/2'
'-y+1/2,x+1/2,-z+1/2'
loop_
_atom_site_label
_atom_site_fract_x
_atom_site_fract_y
_atom_site_fract_z
_atom_site_occupancy
Li1 0.0000 0.0000 0.0000 1
Li2 0.1213 0.7812 0.5866 1
Zn1 0.0000 0.5000 0.2500 1
Ag1 0.0705 0.6694 0.9074 1
Ag2 0.0875 0.8244 0.2533 1

=====

# 2
# Np2Co12Si7 (PBE, relaxed)
# Final energy ... -158.8 eV for the cell shown
# Density ... 8706 kg/m³
# Fermi-level density of states ... 30.5 states/eV/f.u.
# Energy relative to the elements, uncorrected ... -9.7 eV per formula unit
data_Np2Co12Si7
_symmetry_space_group_name_H-M 'P -6'
_symmetry_Int_Tables_number 174
_cell_length_a 9.1289
_cell_length_b 9.1289
_cell_length_c 3.6414
_cell_angle_alpha 90.00
_cell_angle_beta 90.00
_cell_angle_gamma 120.00
loop_
_symmetry_equiv_pos_as_xyz
'x,y,z'
'-x+y,-x,-z'
'-y,x-y,z'
'x,y,-z'
'-x+y,-x,z'
'-y,x-y,-z'
loop_
_atom_site_label
_atom_site_fract_x
_atom_site_fract_y
_atom_site_fract_z
_atom_site_occupancy
Np1 0.0000 0.0000 0.0000 1
Np2 0.3333 0.6667 0.5000 1
Co1 0.0429 0.2772 0.5000 1
Co2 0.1098 0.7155 0.0000 1
Co3 0.3888 0.1855 0.0000 1
Co4 0.5522 0.4361 0.5000 1
Si1 0.0602 0.4440 0.0000 1
Si2 0.2689 0.2315 0.5000 1
Si3 0.6667 0.3333 0.0000 1

=====

# 3
# ScRe2Ir (PBE, relaxed)
# Final energy ... -120.1 eV for the cell shown
# Distance to the lowest polymorph of the same formula ... 0.64 eV per formula unit
# Density ... 15908 kg/m³
# Formation enthalpy at 0 K ... 0.011 eV per atom
# Fermi-level density of states ... 4.4 states/eV/f.u.
data_ScRe2Ir
_symmetry_space_group_name_H-M 'R 3 m'
_symmetry_Int_Tables_number 160
_symmetry_space_group_name_Hall 'R 3 -2"'
_cell_length_a 2.8644
_cell_length_b 2.8644
_cell_length_c 26.8642
_cell_angle_alpha 90.00
_cell_angle_beta 90.00
_cell_angle_gamma 120.00
loop_
_atom_site_label
_atom_site_fract_x
_atom_site_fract_y
_atom_site_fract_z
_atom_site_occupancy
Sc1 0.0000 0.0000 0.0000 1
Re1 0.0000 0.0000 0.2446 1
Re2 0.0000 0.0000 0.4994 1
Ir1 0.0000 0.0000 0.7504 1

=====

# 4
# Sr2Zn3NiGe4 (PBE, relaxed)
# Final energy ... -35.2 eV for the cell shown
# Density ... 5958 kg/m³
# Formation enthalpy at 0 K ... -0.372 eV per atom
# Fermi-level density of states ... 3.4 states/eV/f.u.
data_Sr2Zn3NiGe4
_symmetry_space_group_name_H-M 'P -4 m 2'
_symmetry_Int_Tables_number 115
_cell_length_a 4.3567
_cell_length_b 4.3567
_cell_length_c 10.5825
_cell_angle_alpha 90.00
_cell_angle_beta 90.00
_cell_angle_gamma 90.00
loop_
_symmetry_equiv_pos_as_xyz
'x,y,z'
'y,-x,-z'
'-x,-y,z'
'-y,x,-z'
'-x,y,z'
'-y,-x,-z'
'x,-y,z'
'y,x,-z'
loop_
_atom_site_label
_atom_site_fract_x
_atom_site_fract_y
_atom_site_fract_z
_atom_site_occupancy
Sr1 0.0000 0.5000 0.2427 1
Zn1 0.0000 0.0000 0.0000 1
Zn2 0.0000 0.5000 0.6389 1
Ni1 0.5000 0.5000 0.0000 1
Ge1 0.0000 0.0000 0.5000 1
Ge2 0.0000 0.5000 0.8794 1
Ge3 0.5000 0.5000 0.5000 1

=====

# 5
# Ca2GaSi2Ir5 (PBE, relaxed)
# Final energy ... -136.7 eV for the cell shown
# Density ... 11919 kg/m³
# Fermi-level density of states ... 4.4 states/eV/f.u.
# Energy relative to the elements, uncorrected ... -6.1 eV per formula unit
data_Ca2GaSi2Ir5
_symmetry_space_group_name_H-M 'P 4/m b m'
_symmetry_Int_Tables_number 127
_symmetry_space_group_name_Hall '-P 4 2ab'
_cell_length_a 9.9102
_cell_length_b 9.9102
_cell_length_c 3.3113
_cell_angle_alpha 90.00
_cell_angle_beta 90.00
_cell_angle_gamma 90.00
loop_
_atom_site_label
_atom_site_fract_x
_atom_site_fract_y
_atom_site_fract_z
_atom_site_occupancy
Ca1 0.1738 0.3262 0.0000 1
Ga1 0.0000 0.0000 0.0000 1
Si1 0.1271 0.6271 0.0000 1
Ir1 0.0000 0.5000 0.5000 1
Ir2 0.0666 0.7925 0.5000 1

=====

# 6
# Sc2FeTe (PBE, relaxed)
# Final energy ... -98.7 eV for the cell shown
# Density ... 5587 kg/m³
# Fermi-level density of states ... 5.1 states/eV/f.u.
# Energy relative to the elements, uncorrected ... -0.4 eV per formula unit
data_Sc2FeTe
_symmetry_space_group_name_H-M 'I -4 2 d'
_symmetry_Int_Tables_number 122
_symmetry_space_group_name_Hall 'I -4 2bw'
_cell_length_a 7.3952
_cell_length_b 7.3952
_cell_length_c 5.9419
_cell_angle_alpha 90.00
_cell_angle_beta 90.00
_cell_angle_gamma 90.00
loop_
_atom_site_label
_atom_site_fract_x
_atom_site_fract_y
_atom_site_fract_z
_atom_site_occupancy
Sc1 0.1850 0.7500 0.1250 1
Fe1 0.0000 0.0000 0.0000 1
Te1 0.0000 0.0000 0.5000 1

=====

# 7
# Nd3Ho5Sc2 (PBE, relaxed)
# Final energy ... -98.9 eV for the cell shown
# Density ... 7263 kg/m³
# Formation enthalpy at 0 K ... 0.042 eV per atom
# Fermi-level density of states ... 14.5 states/eV/f.u.
data_Nd3Ho5Sc2
_symmetry_space_group_name_H-M 'P -1'
_symmetry_Int_Tables_number 2
_cell_length_a 9.2909
_cell_length_b 9.3013
_cell_length_c 9.3216
_cell_angle_alpha 106.53
_cell_angle_beta 106.57
_cell_angle_gamma 115.35
loop_
_symmetry_equiv_pos_as_xyz
'x,y,z'
'-x,-y,-z'
loop_
_atom_site_label
_atom_site_fract_x
_atom_site_fract_y
_atom_site_fract_z
_atom_site_occupancy
Nd1 0.0809 0.0301 0.3508 1
Nd2 0.2728 0.4247 0.9517 1
Nd3 0.3226 0.7718 0.8492 1
Ho1 0.0239 0.6746 0.4482 1
Ho2 0.1307 0.3817 0.2506 1
Ho3 0.2271 0.0750 0.0537 1
Ho4 0.3801 0.1272 0.7486 1
Ho5 0.4728 0.8221 0.5471 1
Sc1 0.1730 0.7230 0.1495 1
Sc2 0.4281 0.4767 0.6445 1

=====

# 8
# SrPuGaGe (PBE, relaxed)
# Final energy ... -98.9 eV for the cell shown
# Density ... 7667 kg/m³
# Formation enthalpy at 0 K ... -0.267 eV per atom
# Fermi-level density of states ... 11.3 states/eV/f.u.
data_SrPuGaGe
_symmetry_space_group_name_H-M 'F -4 3 m'
_symmetry_Int_Tables_number 216
_symmetry_space_group_name_Hall 'F -4 2 3'
_cell_length_a 7.4327
_cell_length_b 7.4327
_cell_length_c 7.4327
_cell_angle_alpha 90.00
_cell_angle_beta 90.00
_cell_angle_gamma 90.00
loop_
_atom_site_label
_atom_site_fract_x
_atom_site_fract_y
_atom_site_fract_z
_atom_site_occupancy
Sr1 0.0000 0.0000 0.0000 1
Pu1 0.0000 0.0000 0.5000 1
Ga1 0.2500 0.2500 0.7500 1
Ge1 0.2500 0.2500 0.2500 1

=====

Fermi-level density of states of number 2 (Np2Co12Si7)?
30.5 states/eV/f.u.